Entry 1:
Entry from the Alexandria database: a PBEsol-optimized structure of ScAlMo2 (SCAN).

Summary:
ΔE_f, kcal/mol of atoms: 5.02

Cell: 2.8620 2.8620 27.8945 Å, 90.00 90.00 120.00°
Space group R-3m (No. 166, hexagonal axes)
Inequivalent atoms, fractional coordinates:
1 Sc 0.0000 0.0000 0.0000
2 Al 0.0000 0.0000 0.5000
3 Mo 0.0000 0.0000 0.2457


Entry 2:
Entry from the Alexandria database: a PBEsol-optimized structure of ScAl2Mo (SCAN).

Summary:
ΔE_f, kcal/mol of atoms: -0.60

Cell: 6.3805 6.3805 6.3805 Å, 90.00 90.00 90.00°
Space group F-43m (No. 216)
Inequivalent atoms, fractional coordinates:
1 Sc 0.0000 0.0000 0.0000
2 Al 0.0000 0.0000 0.5000
3 Al 0.2500 0.2500 0.7500
4 Mo 0.2500 0.2500 0.2500


Entry 3:
Entry from the Alexandria database: a PBEsol-optimized structure of Sc2AlMo (SCAN).

Summary:
ΔE_f, kcal/mol of atoms: -0.64

Cell: 5.9723 8.4758 2.8684 Å, 90.00 90.00 90.00°
Space group Cmmm (No. 65)
Inequivalent atoms, fractional coordinates:
1 Sc 0.2500 0.2500 0.0000
2 Al 0.0000 0.0000 0.5000
3 Mo 0.0000 0.5000 0.5000


Entry 4:
Entry from the Alexandria database: a PBEsol-optimized structure of Sc2AlMo (SCAN).

Summary:
ΔE_f, kcal/mol of atoms: -0.70

Cell: 6.5722 6.5722 6.5722 Å, 90.00 90.00 90.00°
Space group F-43m (No. 216)
Inequivalent atoms, fractional coordinates:
1 Sc 0.0000 0.0000 0.0000
2 Sc 0.2500 0.2500 0.2500
3 Al 0.2500 0.2500 0.7500
4 Mo 0.0000 0.0000 0.5000


Entry 5:
Entry from the Alexandria database: a PBEsol-optimized structure of ScAlMo2 (SCAN).

Summary:
ΔE_f, kcal/mol of atoms: -5.32

Cell: 3.2032 3.2032 6.4548 Å, 90.00 90.00 90.00°
Space group P4mm (No. 99)
Inequivalent atoms, fractional coordinates:
1 Sc 0.0000 0.0000 0.0000
2 Al 0.5000 0.5000 0.2888
3 Mo 0.0000 0.0000 0.5225
4 Mo 0.5000 0.5000 0.7369


Entry 6:
Entry from the Alexandria database: a PBEsol-optimized structure of ScAl2Mo (SCAN).

Summary:
ΔE_f, kcal/mol of atoms: -3.96

Cell: 9.1600 2.8282 5.3048 Å, 90.00 97.21 90.00°
Space group C2/m (No. 12)
Inequivalent atoms, fractional coordinates:
1 Sc 0.0000 0.0000 0.0000
2 Al 0.2429 0.0000 0.7199
3 Mo 0.0000 0.5000 0.5000


Entry 7:
Entry from the Alexandria database: a PBEsol-optimized structure of ScAlMo (SCAN).

Summary:
ΔE_f, kcal/mol of atoms: 2.56

Cell: 2.9468 2.9468 6.9652 Å, 90.00 90.00 120.00°
Space group P3m1 (No. 156)
Inequivalent atoms, fractional coordinates:
1 Sc 0.0000 0.0000 0.0000
2 Al 0.3333 0.6667 0.6437
3 Mo 0.6667 0.3333 0.3355


Entry 8:
Entry from the Alexandria database: a PBEsol-optimized structure of ScAlMo2 (SCAN).

Summary:
ΔE_f, kcal/mol of atoms: -4.95

Cell: 6.3646 6.3646 6.3646 Å, 90.00 90.00 90.00°
Space group F-43m (No. 216)
Inequivalent atoms, fractional coordinates:
1 Sc 0.0000 0.0000 0.0000
2 Al 0.2500 0.2500 0.7500
3 Mo 0.0000 0.0000 0.5000
4 Mo 0.2500 0.2500 0.2500


Entry 9:
Entry from the Alexandria database: a PBEsol-optimized structure of Sc2AlMo (SCAN).

Summary:
ΔE_f, kcal/mol of atoms: -0.51

Cell: 4.0527 4.0600 8.9615 Å, 90.00 90.00 90.00°
Space group Cmm2 (No. 35)
Inequivalent atoms, fractional coordinates:
1 Sc 0.0000 0.0000 0.0000
2 Sc 0.0000 0.5000 0.3021
3 Al 0.0000 0.0000 0.5429
4 Mo 0.0000 0.5000 0.7538


Entry 10:
Entry from the Alexandria database: a PBEsol-optimized structure of ScAlMo (SCAN).

Summary:
ΔE_f, kcal/mol of atoms: 23.12

Cell: 6.3329 6.3329 6.3329 Å, 90.00 90.00 90.00°
Space group F-43m (No. 216)
Inequivalent atoms, fractional coordinates:
1 Sc 0.0000 0.0000 0.0000
2 Al 0.2500 0.2500 0.7500
3 Mo 0.2500 0.2500 0.2500


Entry 11:
Entry from the Alexandria database: a PBEsol-optimized structure of ScAl2Mo (SCAN).

Summary:
ΔE_f, kcal/mol of atoms: -7.72

Cell: 4.0435 4.0435 7.9830 Å, 90.00 90.00 90.00°
Space group I4/mmm (No. 139)
Inequivalent atoms, fractional coordinates:
1 Sc 0.0000 0.0000 0.0000
2 Al 0.0000 0.5000 0.2500
3 Mo 0.0000 0.0000 0.5000


Entry 12:
Entry from the Alexandria database: a PBEsol-optimized structure of ScAl2Mo (SCAN).

Summary:
ΔE_f, kcal/mol of atoms: -6.98

Cell: 2.8013 4.1032 5.7240 Å, 90.00 90.00 90.00°
Space group Pmmm (No. 47)
Inequivalent atoms, fractional coordinates:
1 Sc 0.0000 0.0000 0.0000
2 Al 0.5000 0.5000 0.2721
3 Mo 0.0000 0.0000 0.5000


Q: The lowest ΔE_f belongs to which entry?
A: number 11